The following is a DFT calculation (PBE) of an optimized crystal structure of KZrTl.

Values from the calculation:
**Fermi-level density of states**: 4.7 states/eV/cell
**Energy above the lowest structure with this stoichiometry**: 0 meV/atom

a = 3.447 Å, b = 4.133 Å, c = 13.902 Å
α = 90.00°, β = 90.48°, γ = 90.00°
Fractional positions:
K: 0.238 0.250 0.147
K: 0.762 0.750 0.853
Zr: 0.248 0.250 0.440
Zr: 0.752 0.750 0.560
Tl: 0.256 0.250 0.676
Tl: 0.744 0.750 0.324

The following is a DFT calculation (PBE) of an optimized crystal structure of GaFeMo3.

Values from the calculation:
**Total DFT energy (no corrections)**: -34.42 eV per cell
**Fermi-level density of states**: 9.0 states/eV/cell

a = 4.523 Å, b = 4.523 Å, c = 4.523 Å
α = 90.00°, β = 90.00°, γ = 90.00°
Fractional positions:
Ga: 0.000 0.000 0.000
Fe: 0.500 0.500 0.500
Mo: 0.000 0.000 0.500
Mo: 0.000 0.500 0.000
Mo: 0.500 0.000 0.000

The following is a DFT calculation (PBE) of an optimized crystal structure of Ge2OsF.

Values from the calculation:
**Fermi-level density of states**: 4.2 states/eV/cell
**Energy above the lowest structure with this stoichiometry**: 0 meV/atom
**Raw formation energy**: -58 meV/atom

a = 6.762 Å, b = 6.762 Å, c = 6.762 Å
α = 132.67°, β = 132.67°, γ = 69.18°
Fractional positions:
Ge: 0.118 0.625 0.993
Ge: 0.375 0.368 0.493
Ge: 0.632 0.125 0.007
Ge: 0.875 0.882 0.507
Os: 0.000 0.000 0.000
Os: 0.750 0.250 0.500
F: 0.250 0.750 0.500
F: 0.500 0.500 0.000

The following is a DFT calculation (PBE) of an optimized crystal structure of Nb5Ru2W.

Values from the calculation:
**Total DFT energy (no corrections)**: -83.50 eV per cell
**Fermi-level density of states**: 5.2 states/eV/cell

a = 5.585 Å, b = 5.585 Å, c = 5.585 Å
α = 109.37°, β = 109.37°, γ = 109.68°
Fractional positions:
Nb: 0.000 0.000 0.000
Nb: 0.000 0.000 0.500
Nb: 0.000 0.500 0.000
Nb: 0.500 0.000 0.000
Nb: 0.500 0.500 0.500
Ru: 0.000 0.500 0.500
Ru: 0.500 0.000 0.500
W: 0.500 0.500 0.000

The following is a DFT calculation (PBE) of an optimized crystal structure of UPt6Au.

Values from the calculation:
**Total DFT energy (no corrections)**: -53.76 eV per cell
**Fermi-level density of states**: 6.9 states/eV/cell

a = 5.765 Å, b = 5.765 Å, c = 4.724 Å
α = 90.00°, β = 90.00°, γ = 120.00°
Fractional positions:
U: 0.000 0.000 0.000
Pt: 0.003 0.501 0.000
Pt: 0.168 0.336 0.500
Pt: 0.168 0.832 0.500
Pt: 0.499 0.501 0.000
Pt: 0.499 0.997 0.000
Pt: 0.664 0.832 0.500
Au: 0.667 0.333 0.500

The following is a DFT calculation (PBE) of an optimized crystal structure of Nd3TeC.

Values from the calculation:
**Fermi-level density of states**: 4.4 states/eV/cell
**Energy above the lowest structure with this stoichiometry**: 71 meV/atom
**Raw formation energy**: -456 meV/atom

a = 5.091 Å, b = 5.091 Å, c = 5.091 Å
α = 90.00°, β = 90.00°, γ = 90.00°
Fractional positions:
Nd: 0.000 0.000 0.500
Nd: 0.000 0.500 0.000
Nd: 0.500 0.000 0.000
Te: 0.500 0.500 0.500
C: 0.000 0.000 0.000

The following is a DFT calculation (PBE) of an optimized crystal structure of MnCuCl2.

Values from the calculation:
**Fermi-level density of states**: 2.6 states/eV/cell
**Energy above the lowest structure with this stoichiometry**: 660 meV/atom
**Raw formation energy**: 298 meV/atom

a = 4.674 Å, b = 4.674 Å, c = 4.674 Å
α = 60.00°, β = 60.00°, γ = 60.00°
Fractional positions:
Mn: 0.000 0.000 0.000
Cu: 0.750 0.750 0.750
Cl: 0.250 0.250 0.250
Cl: 0.500 0.500 0.500

The following is a DFT calculation (PBE) of an optimized crystal structure of CoSiAg2.

Values from the calculation:
**Fermi-level density of states**: 2.7 states/eV/cell
**Raw formation energy**: 169 meV/atom

a = 3.974 Å, b = 3.974 Å, c = 6.068 Å
α = 98.14°, β = 98.14°, γ = 41.65°
Fractional positions:
Co: 0.000 0.000 0.000
Si: 0.271 0.271 0.884
Ag: 0.517 0.517 0.600
Ag: 0.753 0.753 0.285

The following is a DFT calculation (PBE) of an optimized crystal structure of Ta2ZnOs.

Values from the calculation:
**Total DFT energy (no corrections)**: -36.46 eV per cell
**Fermi-level density of states**: 2.0 states/eV/cell

a = 5.353 Å, b = 5.353 Å, c = 4.541 Å
α = 114.57°, β = 114.57°, γ = 34.01°
Fractional positions:
Ta: 0.000 0.000 0.000
Ta: 0.243 0.243 0.745
Zn: 0.769 0.769 0.271
Os: 0.511 0.511 0.510

The following is a DFT calculation (PBE) of an optimized crystal structure of K3TbSi2O7.

Values from the calculation:
**Fermi-level density of states**: 0.0 states/eV/cell
**Raw formation energy**: -2707 meV/atom

a = 9.984 Å, b = 9.984 Å, c = 14.528 Å
α = 90.00°, β = 90.00°, γ = 120.00°
Fractional positions:
K: 0.000 0.000 0.000
K: 0.000 0.000 0.500
K: 0.000 0.332 0.091
K: 0.000 0.332 0.409
K: 0.000 0.668 0.591
K: 0.000 0.668 0.909
K: 0.332 0.000 0.091
K: 0.332 0.000 0.409
K: 0.332 0.332 0.591
K: 0.332 0.332 0.909
K: 0.333 0.667 0.250
K: 0.333 0.667 0.750
K: 0.667 0.333 0.250
K: 0.667 0.333 0.750
K: 0.668 0.000 0.591
K: 0.668 0.000 0.909
K: 0.668 0.668 0.091
K: 0.668 0.668 0.409
Tb: 0.000 0.000 0.250
Tb: 0.000 0.000 0.750
Tb: 0.333 0.667 0.000
Tb: 0.333 0.667 0.500
Tb: 0.667 0.333 0.000
Tb: 0.667 0.333 0.500
Si: 0.000 0.341 0.643
Si: 0.000 0.341 0.857
Si: 0.000 0.659 0.143
Si: 0.000 0.659 0.357
Si: 0.341 0.000 0.643
Si: 0.341 0.000 0.857
Si: 0.341 0.341 0.143
Si: 0.341 0.341 0.357
Si: 0.659 0.000 0.143
Si: 0.659 0.000 0.357
Si: 0.659 0.659 0.643
Si: 0.659 0.659 0.857
O: 0.000 0.177 0.648
O: 0.000 0.177 0.852
O: 0.000 0.407 0.750
O: 0.000 0.593 0.250
O: 0.000 0.823 0.148
O: 0.000 0.823 0.352
O: 0.155 0.477 0.592
O: 0.155 0.477 0.908
O: 0.155 0.678 0.092
O: 0.155 0.678 0.408
O: 0.177 0.000 0.648
O: 0.177 0.000 0.852
O: 0.177 0.177 0.148
O: 0.177 0.177 0.352
O: 0.322 0.477 0.092
O: 0.322 0.477 0.408
O: 0.322 0.845 0.592
O: 0.322 0.845 0.908
O: 0.407 0.000 0.750
O: 0.407 0.407 0.250
O: 0.477 0.155 0.592
O: 0.477 0.155 0.908
O: 0.477 0.322 0.092
O: 0.477 0.322 0.408
O: 0.523 0.678 0.592
O: 0.523 0.678 0.908
O: 0.523 0.845 0.092
O: 0.523 0.845 0.408
O: 0.593 0.000 0.250
O: 0.593 0.593 0.750
O: 0.678 0.155 0.092
O: 0.678 0.155 0.408
O: 0.678 0.523 0.592
O: 0.678 0.523 0.908
O: 0.823 0.000 0.148
O: 0.823 0.000 0.352
O: 0.823 0.823 0.648
O: 0.823 0.823 0.852
O: 0.845 0.322 0.592
O: 0.845 0.322 0.908
O: 0.845 0.523 0.092
O: 0.845 0.523 0.408

The following is a DFT calculation (PBE) of an optimized crystal structure of PmPHPt6.

Values from the calculation:
**Total DFT energy (no corrections)**: -107.29 eV per cell
**Fermi-level density of states**: 5.5 states/eV/cell

a = 7.671 Å, b = 7.671 Å, c = 7.671 Å
α = 123.57°, β = 118.86°, γ = 87.96°
Fractional positions:
Pm: 0.305 0.055 0.250
Pm: 0.695 0.945 0.750
P: 0.000 0.500 0.500
P: 0.500 0.500 0.000
H: 0.000 0.000 0.500
H: 0.000 0.500 0.000
Pt: 0.036 0.786 0.250
Pt: 0.101 0.387 0.229
Pt: 0.101 0.871 0.713
Pt: 0.342 0.129 0.729
Pt: 0.342 0.613 0.213
Pt: 0.365 0.615 0.750
Pt: 0.635 0.385 0.250
Pt: 0.658 0.387 0.787
Pt: 0.658 0.871 0.271
Pt: 0.899 0.129 0.287
Pt: 0.899 0.613 0.771
Pt: 0.964 0.214 0.750

The following is a DFT calculation (PBE) of an optimized crystal structure of Cu2HS.

Values from the calculation:
**Fermi-level density of states**: 1.6 states/eV/cell
**Energy above the lowest structure with this stoichiometry**: 342 meV/atom

a = 3.984 Å, b = 3.984 Å, c = 3.984 Å
α = 60.00°, β = 60.00°, γ = 60.00°
Fractional positions:
Cu: 0.250 0.250 0.250
Cu: 0.750 0.750 0.750
H: 0.000 0.000 0.000
S: 0.500 0.500 0.500

The following is a DFT calculation (PBE) of an optimized crystal structure of Th3SnRu.

Values from the calculation:
**Fermi-level density of states**: 11.4 states/eV/cell
**Energy above the lowest structure with this stoichiometry**: 26 meV/atom

a = 6.291 Å, b = 6.291 Å, c = 10.780 Å
α = 90.00°, β = 90.00°, γ = 137.79°
Fractional positions:
Th: 0.047 0.953 0.750
Th: 0.350 0.650 0.544
Th: 0.350 0.650 0.956
Th: 0.650 0.350 0.044
Th: 0.650 0.350 0.456
Th: 0.953 0.047 0.250
Sn: 0.246 0.754 0.250
Sn: 0.754 0.246 0.750
Ru: 0.000 0.000 0.000
Ru: 0.000 0.000 0.500

The following is a DFT calculation (PBE) of an optimized crystal structure of HgPdPb4.

Values from the calculation:
**Fermi-level density of states**: 4.7 states/eV/cell
**Energy above the lowest structure with this stoichiometry**: 0 meV/atom

a = 8.085 Å, b = 8.085 Å, c = 6.027 Å
α = 102.55°, β = 102.55°, γ = 111.98°
Fractional positions:
Hg: 0.123 0.877 0.750
Hg: 0.877 0.123 0.250
Pd: 0.490 0.510 0.750
Pd: 0.510 0.490 0.250
Pb: 0.141 0.296 0.843
Pb: 0.209 0.554 0.415
Pb: 0.296 0.141 0.343
Pb: 0.446 0.791 0.085
Pb: 0.554 0.209 0.915
Pb: 0.704 0.859 0.657
Pb: 0.791 0.446 0.585
Pb: 0.859 0.704 0.157

The following is a DFT calculation (PBE) of an optimized crystal structure of Rb3CaS2O8.

Values from the calculation:
**Fermi-level density of states**: 2.3 states/eV/cell
**Raw formation energy**: -1793 meV/atom

a = 5.842 Å, b = 5.842 Å, c = 10.089 Å
α = 90.00°, β = 90.00°, γ = 120.00°
Fractional positions:
Rb: 0.000 0.000 0.000
Rb: 0.333 0.667 0.724
Rb: 0.667 0.333 0.276
Ca: 0.000 0.000 0.500
S: 0.333 0.667 0.322
S: 0.667 0.333 0.678
O: 0.194 0.388 0.373
O: 0.194 0.806 0.373
O: 0.333 0.667 0.176
O: 0.388 0.194 0.627
O: 0.612 0.806 0.373
O: 0.667 0.333 0.824
O: 0.806 0.194 0.627
O: 0.806 0.612 0.627

The following is a DFT calculation (PBE) of an optimized crystal structure of Tm7AlZn4.

Values from the calculation:
**Total DFT energy (no corrections)**: -41.32 eV per cell
**Fermi-level density of states**: 9.0 states/eV/cell

a = 7.639 Å, b = 7.639 Å, c = 8.463 Å
α = 114.09°, β = 114.09°, γ = 41.48°
Fractional positions:
Tm: 0.000 0.000 0.000
Tm: 0.210 0.210 0.664
Tm: 0.332 0.332 0.117
Tm: 0.422 0.422 0.606
Tm: 0.578 0.578 0.394
Tm: 0.668 0.668 0.883
Tm: 0.790 0.790 0.336
Al: 0.500 0.500 0.000
Zn: 0.015 0.015 0.668
Zn: 0.194 0.194 0.314
Zn: 0.806 0.806 0.686
Zn: 0.985 0.985 0.332

The following is a DFT calculation (PBE) of an optimized crystal structure of Pr3ErIn4.

Values from the calculation:
**Fermi-level density of states**: 6.8 states/eV/cell
**Energy above the lowest structure with this stoichiometry**: 182 meV/atom

a = 9.885 Å, b = 9.885 Å, c = 9.885 Å
α = 157.61°, β = 135.95°, γ = 49.96°
Fractional positions:
Pr: 0.000 0.000 0.000
Pr: 0.294 0.794 0.500
Pr: 0.706 0.206 0.500
Er: 0.500 0.500 0.000
In: 0.077 0.373 0.704
In: 0.330 0.627 0.704
In: 0.670 0.373 0.296
In: 0.923 0.627 0.296

The following is a DFT calculation (PBE) of an optimized crystal structure of TcPdAu3.

Values from the calculation:
**Fermi-level density of states**: 6.1 states/eV/cell
**Energy above the lowest structure with this stoichiometry**: 0 meV/atom

a = 4.993 Å, b = 4.993 Å, c = 4.993 Å
α = 90.00°, β = 90.00°, γ = 90.00°
Fractional positions:
Tc: 0.000 0.000 0.000
Pd: 0.500 0.500 0.500
Au: 0.000 0.500 0.500
Au: 0.500 0.000 0.500
Au: 0.500 0.500 0.000

The following is a DFT calculation (PBE) of an optimized crystal structure of KTl5Pt.

Values from the calculation:
**Total DFT energy (no corrections)**: -19.56 eV per cell
**Fermi-level density of states**: 4.1 states/eV/cell

a = 4.960 Å, b = 4.960 Å, c = 8.217 Å
α = 90.00°, β = 90.00°, γ = 90.00°
Fractional positions:
K: 0.000 0.000 0.000
Tl: 0.000 0.500 0.305
Tl: 0.000 0.500 0.695
Tl: 0.500 0.000 0.305
Tl: 0.500 0.000 0.695
Tl: 0.500 0.500 0.000
Pt: 0.000 0.000 0.500

The following is a DFT calculation (PBE) of an optimized crystal structure of U4TcRu.

Values from the calculation:
**Total DFT energy (no corrections)**: -65.55 eV per cell
**Fermi-level density of states**: 11.1 states/eV/cell

a = 5.494 Å, b = 5.494 Å, c = 5.494 Å
α = 129.70°, β = 116.78°, γ = 84.87°
Fractional positions:
U: 0.063 0.335 0.728
U: 0.227 0.000 0.227
U: 0.607 0.335 0.272
U: 0.773 0.000 0.773
Tc: 0.192 0.692 0.500
Ru: 0.639 0.639 0.000